Compound: NaSr3Mo
Source: Alexandria
Functional: SCAN
Structure: PBEsol geometry

a = 5.8202 Å, b = 5.8202 Å, c = 5.8202 Å
α = 90.00°, β = 90.00°, γ = 90.00°
Closest atoms and distances in Å follow each position.
Space group Pm-3m (No. 221)
One atom of each set of equivalent atoms:
Na 0.0000 0.0000 0.0000 [1 per cell]  12 Sr 4.12
Sr 0.0000 0.5000 0.5000 [3 per cell]  2 Mo 2.91
Mo 0.5000 0.5000 0.5000 [1 per cell]  6 Sr 2.91

ΔH_f (0 K): 742 meV per atom
DOS(E_F): 2.95 states/eV/cell